# CaDyBr (PBE-GGA, relaxed)
data_CaDyBr
_chemical_formula_sum 'Ca2 Dy2 Br2'
_cell_length_a 3.7313
_cell_length_b 3.7313
_cell_length_c 14.9519
_cell_angle_alpha 90.00
_cell_angle_beta 90.00
_cell_angle_gamma 120.00
_symmetry_space_group_name_H-M 'P -6 m 2'
_symmetry_Int_Tables_number 187
_symmetry_space_group_name_Hall 'P -6 2'
loop_
_atom_site_label
_atom_site_fract_x
_atom_site_fract_y
_atom_site_fract_z
Ca1 0.0000 0.0000 0.0000
Ca2 0.3333 0.6667 0.5000
Dy1 0.3333 0.6667 0.2005
Br1 0.0000 0.0000 0.3513
# **ρ**: 5.2 g/cm³
# **Formation energy (no corrections)**: -0.701 eV per atom
# **Total DFT energy (no corrections)**: -10.379 eV per formula unit